*w*
Density functional theory data (PBE) for an optimized crystal structure of CrReAg2.

Unit cell a=5.113 b=5.113 c=4.686 alpha=80.78 beta=80.78 gamma=31.78
Each line ends with the local moment (μB).
Fractional coordinates of all 4 atoms:
1 Ag 0.001 0.001 0.999  -0.01
2 Re 0.750 0.750 0.750  -0.73
3 Ag 0.499 0.499 0.501  -0.01
4 Cr 0.250 0.250 0.250  2.71

---

*x*
Density functional theory data (PBE) for an optimized crystal structure of CrReAg2.

Unit cell a=4.804 b=4.804 c=4.804 alpha=130.30 beta=130.30 gamma=72.93
Each line ends with the local moment (μB).
Fractional coordinates of all 4 atoms:
1 Re 0.750 0.250 0.500  -1.32
2 Ag 0.000 0.000 0.000  -0.06
3 Cr 0.500 0.500 0.000  2.47
4 Ag 0.250 0.750 0.500  -0.01

---

Most stable: *w*. Least stable: *x*.

---

*w*
Density functional theory data (PBE) for an optimized crystal structure of CrReAg2.

Unit cell a=4.856 b=2.716 c=4.915 alpha=82.61 beta=90.00 gamma=90.00
Each line ends with the local moment (μB).
Fractional coordinates of all 4 atoms:
1 Cr 0.500 0.250 0.250  2.85
2 Ag 0.000 0.022 0.002  0.00
3 Ag 0.000 0.478 0.498  0.00
4 Re 0.500 0.750 0.750  -0.60

---

*x*
Density functional theory data (PBE) for an optimized crystal structure of CrReAg2.

Unit cell a=2.723 b=2.723 c=9.263 alpha=90.00 beta=90.00 gamma=112.89
Fractional coordinates of all 4 atoms:
1 Cr 0.000 0.000 0.519
2 Ag 0.500 0.500 0.264
3 Ag 0.000 0.000 0.995
4 Re 0.500 0.500 0.722

---

*y*
Density functional theory data (PBE) for an optimized crystal structure of CrReAg2.

Unit cell a=4.447 b=4.447 c=4.447 alpha=60.00 beta=60.00 gamma=60.00
Fractional coordinates of all 4 atoms:
1 Ag 0.250 0.250 0.250
2 Re 0.500 0.500 0.500
3 Cr 0.000 0.000 0.000
4 Ag 0.750 0.750 0.750

---

*z*
Density functional theory data (PBE) for an optimized crystal structure of CrReAg2.

Unit cell a=4.485 b=3.739 c=3.739 alpha=90.00 beta=90.00 gamma=90.00
Each line ends with the local moment (μB).
Fractional coordinates of all 4 atoms:
1 Re 0.500 0.000 0.500  -1.03
2 Cr 0.500 0.500 0.000  2.19
3 Ag 0.000 0.500 0.500  -0.03
4 Ag 0.000 0.000 0.000  -0.03

---

Most stable: *x*. Least stable: *y*.